This record from Alexandria via LeMat-Bulk describes a geometry-optimized Li4Y3InTe8 structure. The functional is PBE.

Computed properties:
- SG = R-3m, No. 166
- E_tot (eV/atom) = -4.5264
- uncorrected formation energy (eV per atom) = -1.09
- calculated volume (Å³/cell) = 457.9
- density (Mg/m³) = 5.186

Structure (POSCAR):
```
Li4Y3InTe8
1.0
8.663 0.000 0.000
0.000 8.643 -0.024
-4.331 -4.329 6.128
Te Li Y In
8 4 3 1
Cartesian
4.331 4.352 3.071 Te
0.000 -0.038 3.032 Te
-2.197 -2.184 6.088 Te
2.197 -2.184 6.088 Te
0.000 4.364 3.041 Te
6.528 6.498 0.016 Te
2.135 6.498 0.016 Te
4.331 -0.050 3.062 Te
0.000 0.000 0.000 Li
2.166 -2.164 3.064 Li
-2.166 -2.164 3.064 Li
4.331 0.000 0.000 Li
-2.166 2.157 3.052 Y
4.331 4.321 -0.012 Y
2.166 2.157 3.052 Y
0.000 4.321 -0.012 In
```